Entry from the Alexandria database: a geometry-optimized TbHo4Mg2 structure (PBE).

The value obtained for the calculated formation energy is 0.070 eV/atom. As for the crystal system: trigonal. Its space group is R-3m, No. 166.

Lattice parameters (Å, degrees): 5.4200 5.4200 8.6104 71.66 71.66 60.00
Sites, in units of the cell vectors:
Ho 0.9317 0.9317 0.2048
Ho 0.7923 0.7923 0.6231
Ho 0.2077 0.2077 0.3769
Ho 0.0683 0.0683 0.7952
Tb 0.5000 0.5000 0.5000
Mg 0.6490 0.6490 0.0531
Mg 0.3510 0.3510 0.9469

***

Entry from the Alexandria database: a geometry-optimized Tb3Ho2Mg3 structure (PBE).

The value obtained for the calculated formation energy is -0.059 eV/atom. As for the crystal system: orthorhombic. Its space group is Immm, No. 71.

Lattice parameters (Å, degrees): 3.7469 5.4363 11.6534 103.49 99.25 90.00
Sites, in units of the cell vectors:
Ho 0.2647 0.7647 0.5295
Ho 0.7353 0.2353 0.4705
Mg 0.0000 0.5000 0.0000
Mg 0.8828 0.8828 0.7656
Mg 0.1172 0.1172 0.2344
Tb 0.6255 0.6255 0.2509
Tb 0.5000 0.0000 0.0000
Tb 0.3745 0.3745 0.7491

***

Entry from the Alexandria database: a geometry-optimized TbHo2Mg4 structure (PBE).

The value obtained for the calculated formation energy is 0.388 eV/atom. As for the crystal system: orthorhombic. Its space group is Cmmm, No. 65.

Lattice parameters (Å, degrees): 5.4505 5.9592 7.1122 114.77 90.00 90.00
Sites, in units of the cell vectors:
Mg 0.5000 0.6194 0.2388
Mg 0.0000 0.2545 0.5091
Mg 0.5000 0.3806 0.7612
Mg 0.0000 0.7455 0.4909
Ho 0.5000 0.8682 0.7364
Ho 0.5000 0.1318 0.2636
Tb 0.0000 0.5000 0.0000